KY2W at its PBEsol-relaxed geometry. Source: the Alexandria database, functional meta-GGA SCAN.

Output
**Space-group type**: No. 216
**E_form**: 1.3674 eV per atom
**Final energy**: -2.356 Ry/atom

```
KY2W
1.0
0.000 3.735 3.735
3.735 0.000 3.735
3.735 3.735 0.000
K Y W
1 2 1
direct
0.000 0.000 0.000
0.250 0.250 0.250
0.500 0.500 0.500
0.750 0.750 0.750
```